[1]
A plane-wave DFT calculation with PBE was carried out for a geometry-optimized Ca2Cd3Au structure.

Summary:
Calculated volume = 153.6 Å³/cell
D(E_F) = 3.9 states/eV/f.u.
Formation energy from the elements = -0.445 eV per atom
Crystal system = orthorhombic
Size of the total moment = 0.00 μB per formula unit
Uncorrected energy = -12.694 eV/f.u.
Space group = No. 25

Unit cell a=3.645 b=4.921 c=8.561 alpha=90.00 beta=90.00 gamma=90.00
Sites, in units of the cell vectors:
Ca1 0.000 0.000 0.000
Ca2 0.000 0.500 0.458
Cd1 0.500 0.000 0.641
Cd2 0.500 0.500 0.142
Cd3 0.500 0.500 0.808
Au1 0.500 0.000 0.311

=====

[2]
A plane-wave DFT calculation with PBE was carried out for a geometry-optimized Ca4Cd3Au5 structure.

Summary:
Calculated volume = 285.6 Å³/cell
D(E_F) = 5.1 states/eV/f.u.
Formation energy from the elements = -0.652 eV per atom
Crystal system = monoclinic
Size of the total moment = 0.00 μB per formula unit
Uncorrected energy = -34.966 eV/f.u.
Space group = No. 6

Unit cell a=7.491 b=4.240 c=8.993 alpha=90.00 beta=90.19 gamma=90.00
Sites, in units of the cell vectors:
Ca1 0.000 0.000 0.000
Ca2 0.095 0.500 0.617
Ca3 0.478 0.000 0.128
Ca4 0.592 0.500 0.484
Cd1 0.411 0.000 0.742
Cd2 0.686 0.500 0.868
Cd3 0.913 0.000 0.364
Au1 0.183 0.500 0.238
Au2 0.285 0.500 0.929
Au3 0.301 0.000 0.438
Au4 0.778 0.500 0.176
Au5 0.806 0.000 0.673

=====

[3]
A plane-wave DFT calculation with PBE was carried out for a geometry-optimized Ca2CdAu2 structure.

Summary:
Calculated volume = 136.9 Å³/cell
D(E_F) = 2.3 states/eV/f.u.
Formation energy from the elements = -0.527 eV per atom
Crystal system = tetragonal
Size of the total moment = 0.00 μB per formula unit
Uncorrected energy = -14.110 eV/f.u.
Space group = No. 139

Unit cell a=5.790 b=5.790 c=5.790 alpha=120.18 beta=120.18 gamma=89.69
Sites, in units of the cell vectors:
Ca1 0.250 0.750 0.500
Ca2 0.750 0.250 0.500
Cd1 0.000 0.000 0.000
Au1 0.339 0.339 0.000
Au2 0.661 0.661 0.000

=====

[4]
A plane-wave DFT calculation with PBE was carried out for a geometry-optimized Ca3CdAu4 structure.

Summary:
Calculated volume = 367.7 Å³/cell
D(E_F) = 3.7 states/eV/f.u.
Formation energy from the elements = -0.676 eV per atom
Crystal system = orthorhombic
Size of the total moment = 0.00 μB per formula unit
Uncorrected energy = -25.438 eV/f.u.
Space group = No. 51

Unit cell a=10.082 b=7.234 c=5.042 alpha=90.00 beta=90.00 gamma=90.00
Sites, in units of the cell vectors:
Ca1 0.000 0.000 0.000
Ca2 0.250 0.000 0.499
Ca3 0.250 0.500 0.499
Ca4 0.500 0.000 0.000
Ca5 0.750 0.000 0.501
Ca6 0.750 0.500 0.501
Cd1 0.000 0.500 0.000
Cd2 0.500 0.500 0.000
Au1 0.000 0.253 0.500
Au2 0.000 0.747 0.500
Au3 0.250 0.253 0.999
Au4 0.250 0.747 0.999
Au5 0.500 0.253 0.500
Au6 0.500 0.747 0.500
Au7 0.750 0.253 0.001
Au8 0.750 0.747 0.001

=====

[5]
A plane-wave DFT calculation with PBE was carried out for a geometry-optimized Ca6CdAu3 structure.

Summary:
Calculated volume = 608.1 Å³/cell
D(E_F) = 7.0 states/eV/f.u.
Formation energy from the elements = -0.541 eV per atom
Crystal system = monoclinic
Size of the total moment = 0.00 μB per formula unit
Uncorrected energy = -28.163 eV/f.u.
Space group = No. 11

Unit cell a=11.151 b=4.472 c=12.991 alpha=90.00 beta=110.18 gamma=90.00
Sites, in units of the cell vectors:
Ca1 0.024 0.250 0.387
Ca2 0.081 0.250 0.911
Ca3 0.236 0.750 0.319
Ca4 0.335 0.750 0.797
Ca5 0.344 0.750 0.094
Ca6 0.386 0.250 0.562
Ca7 0.614 0.750 0.438
Ca8 0.656 0.250 0.906
Ca9 0.665 0.250 0.203
Ca10 0.764 0.250 0.681
Ca11 0.919 0.750 0.089
Ca12 0.976 0.750 0.613
Cd1 0.422 0.250 0.294
Cd2 0.578 0.750 0.706
Au1 0.126 0.250 0.162
Au2 0.196 0.750 0.535
Au3 0.398 0.250 0.964
Au4 0.602 0.750 0.036
Au5 0.804 0.250 0.465
Au6 0.874 0.750 0.838

=====

[6]
A plane-wave DFT calculation with PBE was carried out for a geometry-optimized CaCdAu2 structure.

Summary:
Calculated volume = 91.9 Å³/cell
D(E_F) = 1.4 states/eV/f.u.
Formation energy from the elements = -0.530 eV per atom
Crystal system = monoclinic
Size of the total moment = 0.00 μB per formula unit
Uncorrected energy = -11.593 eV/f.u.
Space group = No. 6

Unit cell a=3.746 b=4.526 c=5.717 alpha=90.00 beta=108.61 gamma=90.00
Sites, in units of the cell vectors:
Ca1 0.000 0.000 0.000
Cd1 0.702 0.500 0.399
Au1 0.276 0.000 0.541
Au2 0.431 0.500 0.860

=====

[7]
A plane-wave DFT calculation with PBE was carried out for a geometry-optimized CaCd5Au6 structure.

Summary:
Calculated volume = 242.4 Å³/cell
D(E_F) = 1.7 states/eV/f.u.
Formation energy from the elements = -0.294 eV per atom
Crystal system = monoclinic
Size of the total moment = 0.00 μB per formula unit
Uncorrected energy = -29.773 eV/f.u.
Space group = No. 12

Unit cell a=8.419 b=8.419 c=4.956 alpha=107.10 beta=107.10 gamma=120.82
Sites, in units of the cell vectors:
Ca1 0.000 0.000 0.000
Cd1 0.158 0.842 0.500
Cd2 0.331 0.669 0.000
Cd3 0.500 0.500 0.500
Cd4 0.669 0.331 0.000
Cd5 0.842 0.158 0.500
Au1 0.089 0.433 0.262
Au2 0.266 0.266 0.766
Au3 0.433 0.089 0.262
Au4 0.567 0.911 0.738
Au5 0.734 0.734 0.234
Au6 0.911 0.567 0.738

=====

[8]
A plane-wave DFT calculation with PBE was carried out for a geometry-optimized Ca2CdAu structure.

Summary:
Calculated volume = 103.8 Å³/cell
D(E_F) = 3.1 states/eV/f.u.
Formation energy from the elements = -0.545 eV per atom
Crystal system = orthorhombic
Size of the total moment = 0.00 μB per formula unit
Uncorrected energy = -10.377 eV/f.u.
Space group = No. 25

Unit cell a=3.718 b=5.284 c=5.283 alpha=90.00 beta=90.00 gamma=90.00
Sites, in units of the cell vectors:
Ca1 0.000 0.000 0.000
Ca2 0.000 0.500 0.499
Cd1 0.500 0.500 0.998
Au1 0.500 0.000 0.501

=====

[9]
A plane-wave DFT calculation with PBE was carried out for a geometry-optimized Ca3CdAu3 structure.

Summary:
Calculated volume = 424.2 Å³/cell
D(E_F) = 3.9 states/eV/f.u.
Energy above the lowest structure with this stoichiometry = 100.5 kJ/mol of formula units
Formation energy from the elements = -0.535 eV per atom
Crystal system = hexagonal
Size of the total moment = 0.00 μB per formula unit
Uncorrected energy = -20.496 eV/f.u.
Space group = No. 176

Unit cell a=9.050 b=9.050 c=5.980 alpha=90.00 beta=90.00 gamma=120.00
Sites, in units of the cell vectors:
Ca1 0.047 0.687 0.250
Ca2 0.313 0.360 0.250
Ca3 0.360 0.047 0.750
Ca4 0.640 0.953 0.250
Ca5 0.687 0.640 0.750
Ca6 0.953 0.313 0.750
Cd1 0.333 0.667 0.750
Cd2 0.667 0.333 0.250
Au1 0.034 0.684 0.750
Au2 0.316 0.350 0.750
Au3 0.350 0.034 0.250
Au4 0.650 0.966 0.750
Au5 0.684 0.650 0.250
Au6 0.966 0.316 0.250

=====

[10]
A plane-wave DFT calculation with PBE was carried out for a geometry-optimized CaCd2Au6 structure.

Summary:
Calculated volume = 178.7 Å³/cell
D(E_F) = 3.4 states/eV/f.u.
Energy above the lowest structure with this stoichiometry = 0.0 kJ/mol of formula units
Formation energy from the elements = -0.295 eV per atom
Crystal system = monoclinic
Size of the total moment = 0.00 μB per formula unit
Uncorrected energy = -26.155 eV/f.u.
Space group = No. 12

Unit cell a=8.062 b=8.062 c=5.194 alpha=99.08 beta=99.08 gamma=142.56
Sites, in units of the cell vectors:
Ca1 0.000 0.000 0.000
Cd1 0.160 0.840 0.500
Cd2 0.840 0.160 0.500
Au1 0.173 0.516 0.174
Au2 0.339 0.339 0.669
Au3 0.484 0.827 0.826
Au4 0.516 0.173 0.174
Au5 0.661 0.661 0.331
Au6 0.827 0.484 0.826

=====

[11]
A plane-wave DFT calculation with PBE was carried out for a geometry-optimized Ca3CdAu8 structure.

Summary:
Calculated volume = 257.3 Å³/cell
D(E_F) = 6.5 states/eV/f.u.
Formation energy from the elements = -0.525 eV per atom
Crystal system = trigonal
Size of the total moment = 0.00 μB per formula unit
Uncorrected energy = -39.438 eV/f.u.
Space group = No. 160

Unit cell a=9.759 b=9.759 c=9.759 alpha=33.88 beta=33.88 gamma=33.88
Sites, in units of the cell vectors:
Ca1 0.000 0.000 0.000
Ca2 0.130 0.130 0.130
Ca3 0.614 0.614 0.614
Cd1 0.493 0.493 0.493
Au1 0.058 0.561 0.561
Au2 0.060 0.060 0.564
Au3 0.060 0.564 0.060
Au4 0.311 0.311 0.311
Au5 0.561 0.058 0.561
Au6 0.561 0.561 0.058
Au7 0.564 0.060 0.060
Au8 0.811 0.811 0.811

=====

[12]
A plane-wave DFT calculation with PBE was carried out for a geometry-optimized Ca8CdAu2 structure.

Summary:
Calculated volume = 362.6 Å³/cell
D(E_F) = 7.6 states/eV/f.u.
Formation energy from the elements = -0.379 eV per atom
Crystal system = monoclinic
Size of the total moment = 0.00 μB per formula unit
Uncorrected energy = -27.652 eV/f.u.
Space group = No. 8

Unit cell a=8.290 b=8.290 c=5.872 alpha=98.37 beta=98.37 gamma=111.55
Sites, in units of the cell vectors:
Ca1 0.000 0.000 0.000
Ca2 0.049 0.308 0.605
Ca3 0.135 0.615 0.192
Ca4 0.308 0.049 0.605
Ca5 0.442 0.701 0.778
Ca6 0.615 0.135 0.192
Ca7 0.701 0.442 0.778
Ca8 0.751 0.751 0.384
Cd1 0.375 0.375 0.191
Au1 0.060 0.690 0.692
Au2 0.690 0.060 0.692